## P
## CoSn2Au (PBE)

Data for an optimized crystal structure of CoSn2Au.

The space group is Fm-3m (No. 225) and the conventional cell measures 6.768, 6.768 and 6.768 Å, with angles of 90.00, 90.00 and 90.00 degrees. Symmetry generates all atoms from Co at (0.000, 0.000, 0.000), Sn at (0.250, 0.250, 0.250) and Au at (0.000, 0.000, 0.500).



## Q
## CoSn2Au (PBE)

Data for an optimized crystal structure of CoSn2Au.

The space group is I-42d (No. 122) and the conventional cell measures 4.462, 4.462 and 17.302 Å, with angles of 90.00, 90.00 and 90.00 degrees. Symmetry generates all atoms from Co at (0.000, 0.000, 0.000), Sn at (0.226, 0.250, 0.125) and Au at (0.000, 0.000, 0.500).



## R
## CoSn2Au (PBE)

Data for an optimized crystal structure of CoSn2Au.

The space group is R-3m (No. 166, hexagonal axes) and the conventional cell measures 3.3317, 3.3317 and 27.7963 Å, with angles of 90.00, 90.00 and 120.00 degrees. Symmetry generates all atoms from Co at (0.0000, 0.0000, 0.0000), Sn at (0.0000, 0.0000, 0.0891) and Au at (0.0000, 0.0000, 0.5000).



Most stable structure: Q



## P
## SrCo2Au2 (PBE)

Data for an optimized crystal structure of SrCo2Au2.

The space group is I4/mmm (No. 139) and the conventional cell measures 4.460, 4.460 and 9.951 Å, with angles of 90.00, 90.00 and 90.00 degrees. Symmetry generates all atoms from Sr at (0.000, 0.000, 0.000), Co at (0.000, 0.000, 0.392) and Au at (0.000, 0.500, 0.250).



## Q
## SrCo2Au2 (PBE)

Data for an optimized crystal structure of SrCo2Au2.

The space group is P4/mbm (No. 127) and the conventional cell measures 7.728, 7.728 and 3.031 Å, with angles of 90.00, 90.00 and 90.00 degrees. Symmetry generates all atoms from Sr at (0.000, 0.000, 0.000), Co at (0.104, 0.396, 0.000) and Au at (0.185, 0.685, 0.500).



Most stable structure: P



## P
## Ta2Co2Au (PBE)

Data for an optimized crystal structure of Ta2Co2Au.

The space group is P4/mbm (No. 127) and the conventional cell measures 6.942, 6.942 and 3.074 Å, with angles of 90.00, 90.00 and 90.00 degrees. Symmetry generates all atoms from Ta at (0.168, 0.332, 0.000), Co at (0.129, 0.629, 0.500) and Au at (0.000, 0.000, 0.500).



## Q
## Ta2Co2Au (PBE)

Data for an optimized crystal structure of Ta2Co2Au.

The space group is P4/mbm (No. 127) and the conventional cell measures 7.491, 7.491 and 2.777 Å, with angles of 90.00, 90.00 and 90.00 degrees. Symmetry generates all atoms from Ta at (0.149, 0.351, 0.000), Co at (0.139, 0.639, 0.500) and Au at (0.000, 0.000, 0.000).



Most stable structure: P



## P
## Tb3CoAu (PBE)

Data for an optimized crystal structure of Tb3CoAu.

The space group is P2_1/m (No. 11) and the conventional cell measures 8.200, 3.822 and 8.268 Å, with angles of 90.00, 109.19 and 90.00 degrees. Symmetry generates all atoms from Tb at (0.056, 0.250, 0.237), Tb at (0.315, 0.250, 0.956), Tb at (0.331, 0.750, 0.601), Co at (0.064, 0.250, 0.582) and Au at (0.356, 0.750, 0.237).



## Q
## Tb3CoAu (PBE)

Data for an optimized crystal structure of Tb3CoAu.

The space group is C2/m (No. 12) and the conventional cell measures 10.115, 6.329 and 8.432 Å, with angles of 90.00, 116.13 and 90.00 degrees. Symmetry generates all atoms from Tb at (0.019, 0.000, 0.218), Tb at (0.182, 0.500, 0.860), Tb at (0.206, 0.500, 0.331), Co at (0.000, 0.317, 0.000) and Au at (0.000, 0.273, 0.500).



Most stable structure: P